[1]
The following is a PBE calculation of an optimized crystal structure of NaDyZnSe3, from OQMD via LeMat-Bulk.

abc: 11.5854 4.1237 12.2084
angles: 90.00 90.00 90.00
Sites, in units of the cell vectors:
1 Na 0.1608 0.2500 0.0005
2 Na 0.3392 0.7500 0.5005
3 Na 0.6608 0.2500 0.4995
4 Na 0.8392 0.7500 0.9995
5 Dy 0.0265 0.2500 0.3188
6 Dy 0.4735 0.7500 0.8188
7 Dy 0.5265 0.2500 0.1812
8 Dy 0.9735 0.7500 0.6812
9 Zn 0.2466 0.2500 0.7092
10 Zn 0.2534 0.7500 0.2092
11 Zn 0.7466 0.2500 0.7908
12 Zn 0.7534 0.7500 0.2908
13 Se 0.0516 0.7500 0.1522
14 Se 0.0984 0.2500 0.5671
15 Se 0.2195 0.7500 0.8235
16 Se 0.2805 0.2500 0.3235
17 Se 0.4016 0.7500 0.0671
18 Se 0.4484 0.2500 0.6522
19 Se 0.5516 0.7500 0.3478
20 Se 0.5984 0.2500 0.9329
21 Se 0.7195 0.7500 0.6765
22 Se 0.7805 0.2500 0.1765
23 Se 0.9016 0.7500 0.4329
24 Se 0.9484 0.2500 0.8478

Values from the calculation:
volume	583.2	Å³ per cell
energy relative to the lowest polymorph listed for this composition	37	meV per atom
density	5.55	g/cm3
final energy	-25.33	eV/f.u.



[2]
The following is a PBE calculation of an optimized crystal structure of CsRb2TbF6, from OQMD via LeMat-Bulk.

abc: 6.7462 6.7462 6.7462
angles: 60.00 60.00 60.00
Sites, in units of the cell vectors:
1 Cs 0.0000 0.0000 0.0000
2 Rb 0.2500 0.2500 0.2500
3 Rb 0.7500 0.7500 0.7500
4 Tb 0.5000 0.5000 0.5000
5 F 0.2753 0.2753 0.7247
6 F 0.2753 0.7247 0.2753
7 F 0.2753 0.7247 0.7247
8 F 0.7247 0.2753 0.2753
9 F 0.7247 0.2753 0.7247
10 F 0.7247 0.7247 0.2753

Values from the calculation:
volume	217.1	Å³ per cell
energy relative to the lowest polymorph listed for this composition	66	meV per atom
density	4.41	g/cm3
final energy	-50.54	eV/f.u.



[3]
The following is a PBE calculation of an optimized crystal structure of TbBeAsO, from OQMD via LeMat-Bulk.

abc: 3.8181 3.8181 9.7225
angles: 90.00 90.00 90.00
Sites, in units of the cell vectors:
1 Tb 0.2500 0.7500 0.0000
2 Tb 0.7500 0.2500 0.0000
3 Be 0.2500 0.2500 0.4915
4 Be 0.7500 0.7500 0.5085
5 As 0.2500 0.2500 0.2189
6 As 0.7500 0.7500 0.7811
7 O 0.2500 0.7500 0.5000
8 O 0.7500 0.2500 0.5000

Values from the calculation:
volume	141.7	Å³ per cell
energy relative to the lowest polymorph listed for this composition	1387	meV per atom
density	6.07	g/cm3
final energy	-19.80	eV/f.u.



[4]
The following is a PBE calculation of an optimized crystal structure of FeSnOs, from OQMD via LeMat-Bulk.

abc: 5.8376 5.8376 5.8376
angles: 90.00 90.00 90.00
Sites, in units of the cell vectors:
1 Fe 0.0000 0.0000 0.0000
2 Fe 0.0000 0.5000 0.5000
3 Fe 0.5000 0.0000 0.5000
4 Fe 0.5000 0.5000 0.0000
5 Sn 0.2500 0.2500 0.2500
6 Sn 0.2500 0.7500 0.7500
7 Sn 0.7500 0.2500 0.7500
8 Sn 0.7500 0.7500 0.2500
9 Os 0.2500 0.2500 0.7500
10 Os 0.2500 0.7500 0.2500
11 Os 0.7500 0.2500 0.2500
12 Os 0.7500 0.7500 0.7500

Values from the calculation:
volume	198.9	Å³ per cell
density	12.18	g/cm3
final energy	-22.29	eV/f.u.



[5]
The following is a PBE calculation of an optimized crystal structure of Ba2IrO, from OQMD via LeMat-Bulk.

abc: 4.4155 7.8569 5.8456
angles: 90.00 90.00 90.00
Sites, in units of the cell vectors:
1 Ba 0.0000 0.1337 0.0000
2 Ba 0.0000 0.8663 0.5000
3 Ba 0.5000 0.2813 0.5036
4 Ba 0.5000 0.7187 0.0036
5 Ir 0.0000 0.4996 0.2556
6 Ir 0.0000 0.5004 0.7556
7 O 0.5000 0.0247 0.2215
8 O 0.5000 0.9753 0.7215

Values from the calculation:
volume	202.8	Å³ per cell
density	7.91	g/cm3
final energy	-21.47	eV/f.u.



[6]
The following is a PBE calculation of an optimized crystal structure of PrNb2Os2, from OQMD via LeMat-Bulk.

abc: 4.4361 4.4361 10.7245
angles: 90.00 90.00 90.00
Sites, in units of the cell vectors:
1 Pr 0.0000 0.0000 0.0000
2 Pr 0.5000 0.5000 0.5000
3 Nb 0.0000 0.5000 0.2500
4 Nb 0.0000 0.5000 0.7500
5 Nb 0.5000 0.0000 0.2500
6 Nb 0.5000 0.0000 0.7500
7 Os 0.0000 0.0000 0.3801
8 Os 0.0000 0.0000 0.6199
9 Os 0.5000 0.5000 0.1199
10 Os 0.5000 0.5000 0.8801

Values from the calculation:
volume	211.0	Å³ per cell
density	11.13	g/cm3
final energy	-48.46	eV/f.u.